[1]
DFT (PBE) results for a relaxed Ta4Cd5 crystal.

- energy of formation from the pure elements (eV per atom) = 0.15
- crystal system = tetragonal

abc: 10.1135 10.1135 3.4921
angles: 90.00 90.00 90.00
Space group I4/mmm (No. 139)
Unique sites:
Ta  0.0000  0.3480  0.0000 [8 per cell]
Cd  0.0000  0.0000  0.0000 [2 per cell]
Cd  0.1690  0.1690  0.5000 [8 per cell]

***

[2]
DFT (PBE) results for a relaxed CaTeO4 crystal.

- uncorrected formation energy (eV per atom) = -1.7294
- crystal system = tetragonal

abc: 5.3227 5.3227 11.6007
angles: 90.00 90.00 90.00
Space group I4_1/a (No. 88, origin choice 2)
Unique sites:
Ca  0.0000  0.2500  0.1250 [4 per cell]
Te  0.0000  0.2500  0.6250 [4 per cell]
O  0.1658  0.0050  0.7097 [16 per cell]

***

[3]
DFT (PBE) results for a relaxed NbAgTe2N crystal.

- offset from the most stable computed form (meV/atom) = 1044.6
- uncorrected formation energy (eV per atom) = 1.2598
- crystal system = tetragonal

abc: 5.5122 5.5122 3.8961
angles: 90.00 90.00 90.00
Space group P4/mmm (No. 123)
Unique sites:
Nb  0.0000  0.0000  0.0000 [1 per cell]
Ag  0.5000  0.5000  0.5000 [1 per cell]
Te  0.0000  0.5000  0.5000 [2 per cell]
N  0.5000  0.5000  0.0000 [1 per cell]

***

[4]
DFT (PBE) results for a relaxed Zn2InCuPt crystal.

- energy of formation from the pure elements (eV per atom) = 0.94
- crystal system = tetragonal

abc: 4.9459 4.9459 5.0792
angles: 90.00 90.00 90.00
Space group P4/mmm (No. 123)
Unique sites:
Zn  0.0000  0.5000  0.0000 [2 per cell]
In  0.0000  0.0000  0.0000 [1 per cell]
Cu  0.5000  0.5000  0.5000 [1 per cell]
Pt  0.0000  0.0000  0.5000 [1 per cell]

***

[5]
DFT (PBE) results for a relaxed ZrSi2I crystal.

- offset from the most stable computed form (meV/atom) = 153.3
- uncorrected formation energy (eV per atom) = 0.8209
- crystal system = tetragonal

abc: 6.3397 6.3397 13.0064
angles: 90.00 90.00 90.00
Space group I-42d (No. 122)
Unique sites:
Zr  0.0000  0.0000  0.0000 [4 per cell]
Si  0.2108  0.2500  0.1250 [8 per cell]
I  0.0000  0.0000  0.5000 [4 per cell]

***

[6]
DFT (PBE) results for a relaxed SrGe2Cl crystal.

- offset from the most stable computed form (meV/atom) = 0.0
- uncorrected formation energy (eV per atom) = -0.3565
- crystal system = tetragonal

abc: 10.1473 10.1473 5.2335
angles: 90.00 90.00 90.00
Space group I-42d (No. 122)
Unique sites:
Sr  0.0000  0.0000  0.0000 [4 per cell]
Ge  0.2489  0.7500  0.6250 [8 per cell]
Cl  0.0000  0.0000  0.5000 [4 per cell]

***

[7]
DFT (PBE) results for a relaxed MgAl2As2 crystal.

- offset from the most stable computed form (meV/atom) = 0.0
- energy of formation from the pure elements (eV per atom) = -0.09
- crystal system = tetragonal

abc: 7.2634 7.2634 3.6146
angles: 90.00 90.00 90.00
Space group P4/mbm (No. 127)
Unique sites:
Mg  0.0000  0.0000  0.0000 [2 per cell]
Al  0.1370  0.3630  0.5000 [4 per cell]
As  0.1684  0.6684  0.0000 [4 per cell]

***

[8]
DFT (PBE) results for a relaxed RbNaV2 crystal.

- offset from the most stable computed form (meV/atom) = 0.0
- energy of formation from the pure elements (eV per atom) = 1.49
- crystal system = tetragonal

abc: 4.0960 4.0960 24.5064
angles: 90.00 90.00 90.00
Space group I-42d (No. 122)
Unique sites:
Rb  0.0000  0.0000  0.0000 [4 per cell]
Na  0.0000  0.0000  0.5000 [4 per cell]
V  0.2359  0.2500  0.6250 [8 per cell]

***

[9]
DFT (PBE) results for a relaxed Ce2HoC2 crystal.

- offset from the most stable computed form (meV/atom) = 220.0
- energy of formation from the pure elements (eV per atom) = 0.08
- crystal system = tetragonal

abc: 6.5259 6.5259 8.0669
angles: 90.00 90.00 90.00
Space group P4/mnc (No. 128)
Unique sites:
Ce  0.1823  0.3182  0.0000 [8 per cell]
Ho  0.0000  0.0000  0.2495 [4 per cell]
C  0.0786  0.5786  0.2500 [8 per cell]

***

[10]
DFT (PBE) results for a relaxed Tm7Cd2Fe2 crystal.

- energy of formation from the pure elements (eV per atom) = -0.08
- crystal system = orthorhombic

abc: 3.5429 16.5545 9.3596
angles: 90.00 90.00 90.00
Space group Imm2 (No. 44)
Unique sites:
Tm  0.0000  0.0000  0.0000 [2 per cell]
Tm  0.0000  0.1398  0.5640 [4 per cell]
Tm  0.0000  0.3148  0.3740 [4 per cell]
Tm  0.0000  0.3478  0.7306 [4 per cell]
Cd  0.0000  0.0000  0.3377 [2 per cell]
Cd  0.0000  0.5000  0.2234 [2 per cell]
Fe  0.0000  0.2418  0.0818 [4 per cell]

***

[11]
DFT (PBE) results for a relaxed YTc2Os crystal.

- offset from the most stable computed form (meV/atom) = 225.4
- energy of formation from the pure elements (eV per atom) = 0.21
- crystal system = tetragonal

abc: 3.1037 3.1037 7.2444
angles: 90.00 90.00 90.00
Space group P4mm (No. 99)
Unique sites:
Y  0.0000  0.0000  0.0000 [1 per cell]
Tc  0.0000  0.0000  0.5042 [1 per cell]
Tc  0.5000  0.5000  0.6974 [1 per cell]
Os  0.5000  0.5000  0.2849 [1 per cell]

***

[12]
DFT (PBE) results for a relaxed NiSb2S crystal.

- uncorrected formation energy (eV per atom) = 0.0377
- crystal system = tetragonal

abc: 5.8804 5.8804 11.9600
angles: 90.00 90.00 90.00
Space group I-42d (No. 122)
Unique sites:
Ni  0.0000  0.0000  0.0000 [4 per cell]
Sb  0.2005  0.2500  0.1250 [8 per cell]
S  0.0000  0.0000  0.5000 [4 per cell]

***

Summary of theoretical density in g/cm³
12.0, 4.7, 6.6, 6.7, 3.5, 3.3, 4.0, 3.4, 9.1, 9.2, 11.3, 5.4
(order as listed above)
Summary of VASP energy in eV/atom
-5.625, -5.892, -4.246, -2.148, -4.415, -3.547, -3.770, -3.639, -6.898, -4.634, -9.394, -4.501
(order as listed above)